1.
First-principles (PBE-GGA) data for crystalline NdMg11Au at its relaxed geometry, as listed in Alexandria.

Output
**N(E_F)**: 0.51 states/eV per atom
**E_tot**: -55.3 eV/cell
**Spin magnetization**: 0.0 μB/f.u.
**Crystal system**: monoclinic

Unit cell a=5.7283 b=14.4591 c=7.6890 alpha=90.00 beta=110.51 gamma=90.00
Space group C2/m (No. 12)
Inequivalent atoms, fractional coordinates:
Nd  0.0000  0.0000  0.0000 (multiplicity 2)
Mg  0.0000  0.0000  0.5000 (multiplicity 2)
Mg  0.0986  0.3963  0.2174 (multiplicity 8)
Mg  0.1834  0.1721  0.3580 (multiplicity 8)
Mg  0.2500  0.2500  0.0000 (multiplicity 4)
Au  0.0000  0.5000  0.5000 (multiplicity 2)

2.
First-principles (PBE-GGA) data for crystalline Nd2MgAu at its relaxed geometry, as listed in Alexandria.

Output
**N(E_F)**: 0.83 states/eV per atom
**E_tot**: -16.1 eV/cell
**Spin magnetization**: 0.0 μB/f.u.
**Crystal system**: tetragonal

Unit cell a=3.8210 b=3.8210 c=7.4551 alpha=90.00 beta=90.00 gamma=90.00
Space group P4/mmm (No. 123)
Inequivalent atoms, fractional coordinates:
Nd  0.0000  0.0000  0.2361 (multiplicity 2)
Mg  0.5000  0.5000  0.5000 (multiplicity 1)
Au  0.5000  0.5000  0.0000 (multiplicity 1)

3.
First-principles (PBE-GGA) data for crystalline NdMg9Au3 at its relaxed geometry, as listed in Alexandria.

Output
**N(E_F)**: 0.46 states/eV per atom
**E_tot**: -67.3 eV/cell
**Spin magnetization**: 0.0 μB/f.u.
**Crystal system**: monoclinic

Unit cell a=5.6210 b=14.0228 c=7.5441 alpha=90.00 beta=111.56 gamma=90.00
Space group C2/m (No. 12)
Inequivalent atoms, fractional coordinates:
Nd  0.0000  0.0000  0.0000 (multiplicity 2)
Mg  0.0000  0.0000  0.5000 (multiplicity 2)
Mg  0.0971  0.3913  0.2098 (multiplicity 8)
Mg  0.1737  0.1770  0.3372 (multiplicity 8)
Au  0.0000  0.5000  0.5000 (multiplicity 2)
Au  0.2500  0.2500  0.0000 (multiplicity 4)

4.
First-principles (PBE-GGA) data for crystalline Nd2MgAu at its relaxed geometry, as listed in Alexandria.

Output
**N(E_F)**: 1.10 states/eV per atom
**E_tot**: -63.4 eV/cell
**Spin magnetization**: 0.2 μB/f.u.
**Crystal system**: cubic

Unit cell a=7.5834 b=7.5834 c=7.5834 alpha=90.00 beta=90.00 gamma=90.00
Space group Fm-3m (No. 225)
Inequivalent atoms, fractional coordinates:
Nd  0.2500  0.2500  0.2500 (multiplicity 8)
Mg  0.0000  0.0000  0.0000 (multiplicity 4)
Au  0.0000  0.0000  0.5000 (multiplicity 4)

5.
First-principles (PBE-GGA) data for crystalline Nd5Mg4Au at its relaxed geometry, as listed in Alexandria.

Output
**N(E_F)**: 0.97 states/eV per atom
**E_tot**: -35.9 eV/cell
**Spin magnetization**: 0.0 μB/f.u.
**Crystal system**: tetragonal

Unit cell a=3.8533 b=3.8533 c=19.1592 alpha=90.00 beta=90.00 gamma=90.00
Space group P4/mmm (No. 123)
Inequivalent atoms, fractional coordinates:
Nd  0.0000  0.0000  0.0000 (multiplicity 1)
Nd  0.0000  0.0000  0.2050 (multiplicity 2)
Nd  0.0000  0.0000  0.4084 (multiplicity 2)
Mg  0.5000  0.5000  0.1028 (multiplicity 2)
Mg  0.5000  0.5000  0.3034 (multiplicity 2)
Au  0.5000  0.5000  0.5000 (multiplicity 1)

6.
First-principles (PBE-GGA) data for crystalline NdMgNiAu at its relaxed geometry, as listed in Alexandria.

Output
**N(E_F)**: 0.79 states/eV per atom
**E_tot**: -68.2 eV/cell
**Spin magnetization**: 0.0 μB/f.u.
**Crystal system**: cubic

Unit cell a=6.9018 b=6.9018 c=6.9018 alpha=90.00 beta=90.00 gamma=90.00
Space group F-43m (No. 216)
Inequivalent atoms, fractional coordinates:
Nd  0.0000  0.0000  0.0000 (multiplicity 4)
Mg  0.0000  0.0000  0.5000 (multiplicity 4)
Ni  0.2500  0.2500  0.7500 (multiplicity 4)
Au  0.2500  0.2500  0.2500 (multiplicity 4)

7.
First-principles (PBE-GGA) data for crystalline NdMgPbAu at its relaxed geometry, as listed in Alexandria.

Output
**N(E_F)**: 0.31 states/eV per atom
**E_tot**: -61.6 eV/cell
**Spin magnetization**: 0.0 μB/f.u.
**Crystal system**: cubic

Unit cell a=7.3745 b=7.3745 c=7.3745 alpha=90.00 beta=90.00 gamma=90.00
Space group F-43m (No. 216)
Inequivalent atoms, fractional coordinates:
Nd  0.0000  0.0000  0.0000 (multiplicity 4)
Mg  0.0000  0.0000  0.5000 (multiplicity 4)
Pb  0.2500  0.2500  0.7500 (multiplicity 4)
Au  0.2500  0.2500  0.2500 (multiplicity 4)

8.
First-principles (PBE-GGA) data for crystalline Pm2NdMgAu4 at its relaxed geometry, as listed in Alexandria.

Output
**N(E_F)**: 0.66 states/eV per atom
**E_tot**: -104.9 eV/cell
**Spin magnetization**: 0.0 μB/f.u.
**Crystal system**: trigonal

Unit cell a=5.1334 b=5.1334 c=25.1404 alpha=90.00 beta=90.00 gamma=120.00
Space group R-3m (No. 166, hexagonal axes)
Inequivalent atoms, fractional coordinates:
Pm  0.0000  0.0000  0.2431 (multiplicity 6)
Nd  0.0000  0.0000  0.0000 (multiplicity 3)
Mg  0.0000  0.0000  0.5000 (multiplicity 3)
Au  0.0000  0.0000  0.1221 (multiplicity 6)
Au  0.0000  0.0000  0.3776 (multiplicity 6)

9.
First-principles (PBE-GGA) data for crystalline NdMg2ScAu4 at its relaxed geometry, as listed in Alexandria.

Output
**N(E_F)**: 0.52 states/eV per atom
**E_tot**: -99.9 eV/cell
**Spin magnetization**: 0.0 μB/f.u.
**Crystal system**: trigonal

Unit cell a=4.7951 b=4.7951 c=24.9089 alpha=90.00 beta=90.00 gamma=120.00
Space group R-3m (No. 166, hexagonal axes)
Inequivalent atoms, fractional coordinates:
Nd  0.0000  0.0000  0.0000 (multiplicity 3)
Mg  0.0000  0.0000  0.2448 (multiplicity 6)
Sc  0.0000  0.0000  0.5000 (multiplicity 3)
Au  0.0000  0.0000  0.1290 (multiplicity 6)
Au  0.0000  0.0000  0.3881 (multiplicity 6)

10.
First-principles (PBE-GGA) data for crystalline NdMgSiAu at its relaxed geometry, as listed in Alexandria.

Output
**N(E_F)**: 0.62 states/eV per atom
**Spin magnetization**: 0.0 μB/f.u.
**Crystal system**: cubic
**Formation energy from raw total energies**: -0.50 eV/atom

Unit cell a=7.0433 b=7.0433 c=7.0433 alpha=90.00 beta=90.00 gamma=90.00
Space group F-43m (No. 216)
Inequivalent atoms, fractional coordinates:
Nd  0.0000  0.0000  0.0000 (multiplicity 4)
Mg  0.0000  0.0000  0.5000 (multiplicity 4)
Si  0.2500  0.2500  0.2500 (multiplicity 4)
Au  0.2500  0.2500  0.7500 (multiplicity 4)

11.
First-principles (PBE-GGA) data for crystalline NdSmMg2Au4 at its relaxed geometry, as listed in Alexandria.

Output
**N(E_F)**: 0.52 states/eV per atom
**E_tot**: -95.2 eV/cell
**Spin magnetization**: 0.0 μB/f.u.
**Crystal system**: trigonal

Unit cell a=5.0357 b=5.0357 c=24.1421 alpha=90.00 beta=90.00 gamma=120.00
Space group R-3m (No. 166, hexagonal axes)
Inequivalent atoms, fractional coordinates:
Nd  0.0000  0.0000  0.0000 (multiplicity 3)
Sm  0.0000  0.0000  0.5000 (multiplicity 3)
Mg  0.0000  0.0000  0.2499 (multiplicity 6)
Au  0.0000  0.0000  0.1284 (multiplicity 6)
Au  0.0000  0.0000  0.3742 (multiplicity 6)

12.
First-principles (PBE-GGA) data for crystalline NdMg2SnAu4 at its relaxed geometry, as listed in Alexandria.

Output
**N(E_F)**: 0.45 states/eV per atom
**E_tot**: -88.5 eV/cell
**Spin magnetization**: 0.0 μB/f.u.
**Crystal system**: trigonal

Unit cell a=4.6155 b=4.6155 c=28.1199 alpha=90.00 beta=90.00 gamma=120.00
Space group R-3m (No. 166, hexagonal axes)
Inequivalent atoms, fractional coordinates:
Nd  0.0000  0.0000  0.0000 (multiplicity 3)
Mg  0.0000  0.0000  0.2438 (multiplicity 6)
Sn  0.0000  0.0000  0.5000 (multiplicity 3)
Au  0.0000  0.0000  0.1186 (multiplicity 6)
Au  0.0000  0.0000  0.3911 (multiplicity 6)